Record 1
Density functional theory data (PBE) for a geometry-optimized CaAl structure.

- theoretical density (g/cm³) = 2.137
- space-group type = Imma (74)
- total DFT energy (no corrections) (eV/atom) = -3.0368
- volume (A^3/atom) = 26.1

```
data_CaAl
_space_group_name_H-M_alt 'P 1'
_space_group_IT_number 1
_cell_length_a 3.705
_cell_length_b 5.247
_cell_length_c 10.723
_cell_angle_alpha 90.00
_cell_angle_beta 90.00
_cell_angle_gamma 90.00
loop_
_space_group_symop_operation_xyz
'x,y,z'
loop_
_atom_site_label
_atom_site_fract_x
_atom_site_fract_y
_atom_site_fract_z
Ca1 0.000 0.250 0.104
Ca2 0.000 0.750 0.896
Ca3 0.500 0.250 0.396
Ca4 0.500 0.750 0.604
Al1 0.000 0.250 0.660
Al2 0.000 0.750 0.340
Al3 0.500 0.250 0.840
Al4 0.500 0.750 0.160
```

---

Record 2
Density functional theory data (PBE) for a geometry-optimized Ca2Al3 structure.

- theoretical density (g/cm³) = 2.108
- space-group type = R-3m (166)
- total DFT energy (no corrections) (eV/atom) = -3.1508
- volume (A^3/atom) = 25.4

```
data_Ca2Al3
_space_group_name_H-M_alt 'P 1'
_space_group_IT_number 1
_cell_length_a 4.770
_cell_length_b 4.770
_cell_length_c 19.320
_cell_angle_alpha 90.00
_cell_angle_beta 90.00
_cell_angle_gamma 120.00
loop_
_space_group_symop_operation_xyz
'x,y,z'
loop_
_atom_site_label
_atom_site_fract_x
_atom_site_fract_y
_atom_site_fract_z
Ca1 0.000 0.000 0.093
Ca2 0.000 0.000 0.907
Ca3 0.333 0.667 0.574
Ca4 0.333 0.667 0.759
Ca5 0.667 0.333 0.241
Ca6 0.667 0.333 0.426
Al1 0.000 0.000 0.346
Al2 0.000 0.000 0.500
Al3 0.000 0.000 0.654
Al4 0.333 0.667 0.013
Al5 0.333 0.667 0.167
Al6 0.333 0.667 0.321
Al7 0.667 0.333 0.679
Al8 0.667 0.333 0.833
Al9 0.667 0.333 0.987
```

---

Record 3
Density functional theory data (PBE) for a geometry-optimized Ca8Al structure.

- theoretical density (g/cm³) = 1.733
- space-group type = I4/mmm (139)
- total DFT energy (no corrections) (eV/atom) = -2.2017
- volume (A^3/atom) = 37.0

```
data_Ca8Al
_space_group_name_H-M_alt 'P 1'
_space_group_IT_number 1
_cell_length_a 8.349
_cell_length_b 8.349
_cell_length_c 8.349
_cell_angle_alpha 95.82
_cell_angle_beta 95.82
_cell_angle_gamma 142.85
loop_
_space_group_symop_operation_xyz
'x,y,z'
loop_
_atom_site_label
_atom_site_fract_x
_atom_site_fract_y
_atom_site_fract_z
Ca1 0.000 0.321 0.321
Ca2 0.000 0.679 0.679
Ca3 0.321 0.000 0.321
Ca4 0.345 0.345 0.690
Ca5 0.345 0.655 0.000
Ca6 0.655 0.345 0.000
Ca7 0.655 0.655 0.310
Ca8 0.679 0.000 0.679
Al1 0.000 0.000 0.000
```

---

Values for formation enthalpy at 0 K, eV/f.u., ordered as above
-0.3, -0.5, -0.1
Values for Fermi-level density of states, states/eV per cell, ordered as above
4.7, 8.8, 7.4